This record from Alexandria describes an optimized crystal structure of Ba2SmPbO4. The functional is PBE.

Unit cell a=6.8275 b=3.6270 c=7.2024 alpha=90.00 beta=113.90 gamma=90.00
Closest atoms and distances in Å follow each position.
Fractional coordinates of all 8 atoms:
Ba 0.0000 0.0000 0.0000  4 O 2.76
Ba 0.5000 0.5000 0.5000  6 O 2.71-2.73
Sm 0.0000 0.0000 0.5000  6 O 2.38-2.43
Pb 0.5000 0.5000 0.0000  4 O 2.62
O 0.0663 0.5000 0.3081  2 Sm 2.43, 1 Ba 2.71
O 0.3727 0.0000 0.7123  1 Sm 2.38, 2 Pb 2.62
O 0.6273 0.0000 0.2877  1 Sm 2.38, 2 Pb 2.62
O 0.9337 0.5000 0.6919  2 Sm 2.43, 1 Ba 2.71

Computed properties:
Its raw formation energy is -2.24 eV per atom. The value obtained for the size of the total moment is 0.80 μB per cell. Its space group is P2/m (10). As for the electronic total energy: -6.2488 eV/atom.

=====

This record from Alexandria describes an optimized crystal structure of TiGe3H. The functional is PBE.

Unit cell a=4.9214 b=4.9214 c=4.9214 alpha=90.00 beta=90.00 gamma=90.00
Closest atoms and distances in Å follow each position.
Fractional coordinates of all 5 atoms:
Ti 0.0000 0.0000 0.0000  6 Ge 2.46
Ge 0.0000 0.0000 0.5000  2 Ti 2.46
Ge 0.0000 0.5000 0.0000  2 Ti 2.46
Ge 0.5000 0.0000 0.0000  2 Ti 2.46
H 0.5000 0.5000 0.5000  12 Ge 3.48

Computed properties:
The value obtained for the size of the total moment is 1.01 μB per cell. Its space group is Pm-3m (221). As for the electronic total energy: -4.2786 eV/atom. The energy above the most stable polymorph in this dataset is 246 kJ/mol of formula units.

=====

This record from Alexandria describes an optimized crystal structure of PmNiN3. The functional is PBE.

Unit cell a=5.6969 b=5.6969 c=7.7882 alpha=105.00 beta=105.00 gamma=39.12
Closest atoms and distances in Å follow each position.
Fractional coordinates of all 10 atoms:
Pm 0.1640 0.1640 0.3190  3 N 2.34-2.35
Pm 0.8360 0.8360 0.6810  3 N 2.34-2.35
Ni 0.4382 0.4382 0.3223  1 N 1.69
Ni 0.5618 0.5618 0.6777  1 N 1.69
N 0.3517 0.3517 0.9408  1 N 1.17
N 0.3705 0.3705 0.5254  2 Ni 1.91-2.07
N 0.3869 0.3869 0.0966  1 N 1.17
N 0.6131 0.6131 0.9034  1 N 1.17
N 0.6295 0.6295 0.4746  2 Ni 1.91-2.07
N 0.6483 0.6483 0.0592  1 N 1.17

Computed properties:
Its raw formation energy is -0.47 eV per atom. The value obtained for the size of the total moment is 0.00 μB per cell. Its space group is C2/m (12). As for the electronic total energy: -7.5675 eV/atom.

=====

This record from Alexandria describes an optimized crystal structure of La2CuOs. The functional is PBE.

Unit cell a=3.1072 b=5.3436 c=10.8260 alpha=90.00 beta=90.00 gamma=90.00
Closest atoms and distances in Å follow each position.
Fractional coordinates of all 8 atoms:
La 0.0000 0.0000 0.2421  1 Os 2.62, 1 Cu 2.79
La 0.0000 0.0000 0.7579  1 Os 2.62, 1 Cu 2.79
La 0.5000 0.5000 0.2579  1 Os 2.62, 1 Cu 2.79
La 0.5000 0.5000 0.7421  1 Os 2.62, 1 Cu 2.79
Cu 0.0000 0.0000 0.5000  2 La 2.79, 4 Os 3.09, 2 Cu 3.11
Cu 0.5000 0.5000 0.0000  2 La 2.79, 4 Os 3.09, 2 Cu 3.11
Os 0.0000 0.0000 0.0000  2 La 2.62
Os 0.5000 0.5000 0.5000  2 La 2.62

Computed properties:
The value obtained for the size of the total moment is 0.57 μB per cell. Its space group is Immm (71). The formation energy is 0.8536 eV/atom. As for the electronic total energy: -5.4416 eV/atom.

=====

This record from Alexandria describes an optimized crystal structure of BIrPt. The functional is PBE.

Unit cell a=4.7846 b=2.8743 c=5.6936 alpha=90.00 beta=100.36 gamma=90.00
Closest atoms and distances in Å follow each position.
Fractional coordinates of all 6 atoms:
B 0.0887 0.2500 0.2694  3 Ir 2.12-2.21, 3 Pt 2.17-2.24
B 0.9113 0.7500 0.7306  3 Ir 2.12-2.21, 3 Pt 2.17-2.24
Ir 0.2640 0.7500 0.5290  3 B 2.12-2.21
Ir 0.7360 0.2500 0.4710  3 B 2.12-2.21
Pt 0.2625 0.7500 0.0297  3 B 2.17-2.24
Pt 0.7375 0.2500 0.9703  3 B 2.17-2.24

Computed properties:
The value obtained for the size of the total moment is 0.00 μB per cell. Its space group is P2_1/m (11). The formation energy is -0.2036 eV/atom. As for the electronic total energy: -7.3966 eV/atom.

=====

This record from Alexandria describes an optimized crystal structure of KIr2Cl. The functional is PBE.

Unit cell a=2.7436 b=4.6241 c=7.2652 alpha=90.00 beta=90.00 gamma=90.00
Closest atoms and distances in Å follow each position.
Fractional coordinates of all 4 atoms:
K 0.0000 0.0000 0.0000  4 Cl 2.69, 2 K 2.74
Ir 0.0000 0.5000 0.5000  6 Ir 2.69-2.74
Ir 0.5000 0.0000 0.5000  6 Ir 2.69-2.74
Cl 0.5000 0.5000 0.0000  4 K 2.69, 2 Cl 2.74

Computed properties:
Its raw formation energy is 0.44 eV per atom. The value obtained for the size of the total moment is 1.30 μB per cell. Its space group is Pmmm (47). As for the electronic total energy: -4.7293 eV/atom. The energy above the most stable polymorph in this dataset is 151 kJ/mol of formula units.

=====

This record from Alexandria describes an optimized crystal structure of La2NbCu. The functional is PBE.

Unit cell a=7.4142 b=7.4142 c=7.4142 alpha=90.00 beta=90.00 gamma=90.00
Closest atoms and distances in Å follow each position.
Fractional coordinates of all 16 atoms:
La 0.2500 0.2500 0.2500  4 Nb 3.21, 4 Cu 3.21
La 0.2500 0.2500 0.7500  4 Nb 3.21, 4 Cu 3.21
La 0.2500 0.7500 0.2500  4 Nb 3.21, 4 Cu 3.21
La 0.2500 0.7500 0.7500  4 Nb 3.21, 4 Cu 3.21
La 0.7500 0.2500 0.2500  4 Nb 3.21, 4 Cu 3.21
La 0.7500 0.2500 0.7500  4 Nb 3.21, 4 Cu 3.21
La 0.7500 0.7500 0.2500  4 Nb 3.21, 4 Cu 3.21
La 0.7500 0.7500 0.7500  4 Nb 3.21, 4 Cu 3.21
Nb 0.0000 0.0000 0.0000  8 La 3.21
Nb 0.0000 0.5000 0.5000  8 La 3.21
Nb 0.5000 0.0000 0.5000  8 La 3.21
Nb 0.5000 0.5000 0.0000  8 La 3.21
Cu 0.0000 0.0000 0.5000  8 La 3.21
Cu 0.0000 0.5000 0.0000  8 La 3.21
Cu 0.5000 0.0000 0.0000  8 La 3.21
Cu 0.5000 0.5000 0.5000  8 La 3.21

Computed properties:
The value obtained for the size of the total moment is 7.52 μB per cell. Its space group is Fm-3m (225). The formation energy is 0.3263 eV/atom. As for the electronic total energy: -5.6789 eV/atom. The energy above the most stable polymorph in this dataset is 0 kJ/mol of formula units.

=====

This record from Alexandria describes an optimized crystal structure of AcLaPrPb. The functional is PBE.

Unit cell a=8.1963 b=8.1963 c=8.1963 alpha=90.00 beta=90.00 gamma=90.00
Closest atoms and distances in Å follow each position.
Fractional coordinates of all 16 atoms:
Ac 0.0000 0.0000 0.0000  4 Pr 3.55, 4 La 3.55
Ac 0.0000 0.5000 0.5000  4 Pr 3.55, 4 La 3.55
Ac 0.5000 0.0000 0.5000  4 Pr 3.55, 4 La 3.55
Ac 0.5000 0.5000 0.0000  4 Pr 3.55, 4 La 3.55
La 0.2500 0.2500 0.7500  4 Ac 3.55, 4 Pb 3.55
La 0.2500 0.7500 0.2500  4 Ac 3.55, 4 Pb 3.55
La 0.7500 0.2500 0.2500  4 Ac 3.55, 4 Pb 3.55
La 0.7500 0.7500 0.7500  4 Ac 3.55, 4 Pb 3.55
Pr 0.2500 0.2500 0.2500  4 Pb 3.55, 4 Ac 3.55
Pr 0.2500 0.7500 0.7500  4 Pb 3.55, 4 Ac 3.55
Pr 0.7500 0.2500 0.7500  4 Pb 3.55, 4 Ac 3.55
Pr 0.7500 0.7500 0.2500  4 Pb 3.55, 4 Ac 3.55
Pb 0.0000 0.0000 0.5000  4 La 3.55, 4 Pr 3.55
Pb 0.0000 0.5000 0.0000  4 La 3.55, 4 Pr 3.55
Pb 0.5000 0.0000 0.0000  4 La 3.55, 4 Pr 3.55
Pb 0.5000 0.5000 0.5000  4 La 3.55, 4 Pr 3.55

Computed properties:
The value obtained for the size of the total moment is 0.00 μB per cell. Its space group is F-43m (216). The formation energy is -0.1523 eV/atom. As for the electronic total energy: -4.5333 eV/atom.

=====

Question: Among the records above, which one has the lowest electronic total energy?
Answer: PmNiN3